Material: Sr2MnB
Method: DFT, PBE-GGA
State: optimized geometry

a b c (Å): 11.096 11.096 8.100
angles (deg): 46.77 46.77 90.00
Site moments in Bohr magnetons follow the coordinates.
Sites, in units of the cell vectors:
B  0.500  0.500  0.000  -0.22
Mn  0.750  0.250  0.500  3.02
B  0.250  0.750  0.500  -0.23
Sr  0.439  0.125  0.250  -0.04
Sr  0.375  0.561  0.750  -0.04
Sr  0.875  0.689  0.750  -0.04
Sr  0.311  0.625  0.250  -0.04
Mn  0.000  0.000  0.000  3.03

Results
ΔE_f	0.348	eV/atom

***

Material: Dy2HoErSc4
Method: DFT, PBE-GGA
State: optimized geometry

a b c (Å): 11.645 6.814 11.642
angles (deg): 106.99 145.98 90.03
Sites, in units of the cell vectors:
Sc  0.250  0.250  0.500
Sc  0.250  0.250  0.000
Dy  0.500  0.000  0.500
Sc  0.250  0.750  0.500
Er  0.000  0.500  0.000
Sc  0.750  0.250  0.000
Dy  0.000  0.000  0.500
Dy  0.500  0.500  0.000
Ho  0.000  0.000  0.000
Er  0.000  0.500  0.500
Sc  0.750  0.750  0.500
Sc  0.250  0.750  0.000
Dy  0.500  0.000  0.000
Ho  0.500  0.500  0.500
Sc  0.750  0.250  0.500
Sc  0.750  0.750  0.000

Results
ΔE_f	0.056	eV/atom

***

Material: Zr3Zn4Cu2
Method: DFT, PBE-GGA
State: optimized geometry

a b c (Å): 7.677 7.677 5.865
angles (deg): 90.00 90.00 120.08
Sites, in units of the cell vectors:
Zn  0.836  0.833  0.500
Zn  0.499  0.169  0.500
Cu  0.502  0.835  0.000
Zr  0.171  0.829  0.750
Zr  0.829  0.171  0.750
Zn  0.833  0.836  0.000
Cu  0.498  0.165  0.000
Zn  0.501  0.831  0.500
Zr  0.171  0.829  0.250
Cu  0.165  0.498  0.500
Zr  0.829  0.171  0.250
Zn  0.167  0.164  0.000
Zn  0.169  0.499  0.000
Zn  0.164  0.167  0.500
Zr  0.500  0.500  0.750
Zr  0.500  0.500  0.250
Zn  0.831  0.501  0.000
Cu  0.835  0.502  0.500

Results
ΔE_f	-0.232	eV/atom

***

Material: CrP
Method: DFT, PBE-GGA
State: optimized geometry

a b c (Å): 4.282 4.282 3.955
angles (deg): 90.00 90.00 138.92
Site moments in Bohr magnetons follow the coordinates.
Sites, in units of the cell vectors:
Cr  0.626  0.374  0.750  0.20
Cr  0.374  0.626  0.250  0.20
P  0.908  0.092  0.750  -0.01
P  0.092  0.908  0.250  -0.01

Results
ΔE_f	-0.294	eV/atom